The following is a GGA-PBE calculation of ErAlBIr2 after structural relaxation, from Alexandria.

Cell lengths 6.0019, 6.0019, 7.2707 Å; angles 90.00, 90.00, 141.43 degrees
Atoms (fractional coordinates):
Er: 0.0519 0.9481 0.7500
Er: 0.9481 0.0519 0.2500
Al: 0.2288 0.7712 0.2500
Al: 0.7712 0.2288 0.7500
B: 0.5000 0.5000 0.0000
B: 0.5000 0.5000 0.5000
Ir: 0.3343 0.6657 0.5579
Ir: 0.3343 0.6657 0.9421
Ir: 0.6657 0.3343 0.0579
Ir: 0.6657 0.3343 0.4421

Its uncorrected energy is -7.30 eV per atom. Its space group is Cmcm (63). For the formation energy from the elements, the calculation gives -0.7635 eV/atom. The calculation puts the magnetization at 0.000 μB/cell.

The following is a GGA-PBE calculation of Zn2Cd2Ag7Sn after structural relaxation, from Alexandria.

Cell lengths 9.6898, 9.6898, 9.6898 Å; angles 151.78, 42.93, 148.33 degrees
Atoms (fractional coordinates):
Zn: 0.2383 0.0000 0.2383
Zn: 0.7617 0.0000 0.7617
Cd: 0.3511 0.5203 0.8308
Cd: 0.6895 0.5203 0.1692
Ag: 0.0505 0.3835 0.6670
Ag: 0.1274 0.0441 0.0833
Ag: 0.2844 0.8702 0.4141
Ag: 0.4561 0.8702 0.5859
Ag: 0.5371 0.5371 0.0000
Ag: 0.7166 0.3835 0.3330
Ag: 0.9609 0.0441 0.9167
Sn: 0.8675 0.3675 0.5000

Its uncorrected energy is -2.37 eV per atom. Its space group is Imm2 (44). For the formation energy from the elements, the calculation gives -0.0034 eV/atom. The calculation puts the magnetization at 0.000 μB/cell.

The following is a GGA-PBE calculation of Zr4ScS2 after structural relaxation, from Alexandria.

Cell lengths 5.0236, 5.0236, 13.1753 Å; angles 90.00, 90.00, 90.00 degrees
Atoms (fractional coordinates):
Zr: 0.0000 0.0000 0.2159
Zr: 0.0000 0.0000 0.7841
Zr: 0.0000 0.5000 0.0000
Zr: 0.0000 0.5000 0.5000
Zr: 0.5000 0.0000 0.0000
Zr: 0.5000 0.0000 0.5000
Zr: 0.5000 0.5000 0.2841
Zr: 0.5000 0.5000 0.7159
Sc: 0.0000 0.0000 0.0000
Sc: 0.5000 0.5000 0.5000
S: 0.0000 0.0000 0.3964
S: 0.0000 0.0000 0.6036
S: 0.5000 0.5000 0.1036
S: 0.5000 0.5000 0.8964

Its uncorrected energy is -6.57 eV per atom. The formation energy (no corrections) comes out at 2.8 eV per formula unit. Its space group is I4/mmm (139). The calculation puts the magnetization at 1.590 μB/cell.

The following is a GGA-PBE calculation of InTePt2O after structural relaxation, from Alexandria.

Cell lengths 5.0961, 5.0961, 3.9679 Å; angles 90.00, 90.00, 90.00 degrees
Atoms (fractional coordinates):
In: 0.0000 0.0000 0.0000
Te: 0.5000 0.5000 0.5000
Pt: 0.0000 0.5000 0.5000
Pt: 0.5000 0.0000 0.5000
O: 0.5000 0.5000 0.0000

Its uncorrected energy is -4.55 eV per atom. The formation energy (no corrections) comes out at 0.1 eV per formula unit. Its space group is P4/mmm (123). The calculation puts the magnetization at 0.000 μB/cell.

The following is a GGA-PBE calculation of LiCoSe2N after structural relaxation, from Alexandria.

Cell lengths 5.0527, 5.0527, 3.3338 Å; angles 90.00, 90.00, 90.00 degrees
Atoms (fractional coordinates):
Li: 0.0000 0.0000 0.0000
Co: 0.5000 0.5000 0.5000
Se: 0.0000 0.5000 0.5000
Se: 0.5000 0.0000 0.5000
N: 0.5000 0.5000 0.0000

Its uncorrected energy is -4.83 eV per atom. The formation energy (no corrections) comes out at 0.2 eV per formula unit. Its space group is P4/mmm (123). The calculation puts the magnetization at 0.000 μB/cell. For the excess energy over the best structure of this formula in the dataset, the calculation gives 0 kJ/mol of formula units.

The following is a GGA-PBE calculation of Ac5CeIr5 after structural relaxation, from Alexandria.

Cell lengths 7.3958, 7.3958, 8.5511 Å; angles 107.12, 107.12, 47.89 degrees
Atoms (fractional coordinates):
Ac: 0.0000 0.0000 0.0000
Ac: 0.3221 0.3221 0.1744
Ac: 0.3291 0.3291 0.6564
Ac: 0.6709 0.6709 0.3436
Ac: 0.6779 0.6779 0.8256
Ce: 0.0000 0.0000 0.5000
Ir: 0.1481 0.1481 0.3343
Ir: 0.1569 0.1569 0.8215
Ir: 0.5000 0.5000 0.5000
Ir: 0.8431 0.8431 0.1785
Ir: 0.8519 0.8519 0.6657

Its uncorrected energy is -7.01 eV per atom. Its space group is C2/m (12). For the formation energy from the elements, the calculation gives -0.5733 eV/atom. The calculation puts the magnetization at 0.000 μB/cell.

The following is a GGA-PBE calculation of LiCe2Ru2 after structural relaxation, from Alexandria.

Cell lengths 4.6170, 6.5647, 8.3709 Å; angles 81.72, 74.02, 69.41 degrees
Atoms (fractional coordinates):
Li: 0.0004 0.2499 0.2503
Li: 0.9996 0.7501 0.7497
Ce: 0.3204 0.2736 0.5858
Ce: 0.3208 0.7736 0.0858
Ce: 0.6792 0.2264 0.9142
Ce: 0.6796 0.7264 0.4142
Ru: 0.3834 0.9681 0.7643
Ru: 0.3842 0.4682 0.2643
Ru: 0.6158 0.5318 0.7357
Ru: 0.6166 0.0319 0.2357

Its uncorrected energy is -6.67 eV per atom. Its space group is P-1 (2). For the formation energy from the elements, the calculation gives -0.2050 eV/atom. The calculation puts the magnetization at 0.000 μB/cell.

The following is a GGA-PBE calculation of CaPm6Er2 after structural relaxation, from Alexandria.

Cell lengths 3.6452, 3.6452, 27.1773 Å; angles 90.00, 90.00, 120.00 degrees
Atoms (fractional coordinates):
Ca: 0.0000 0.0000 0.0000
Pm: 0.0000 0.0000 0.2243
Pm: 0.0000 0.0000 0.4340
Pm: 0.0000 0.0000 0.5660
Pm: 0.0000 0.0000 0.7757
Pm: 0.6667 0.3333 0.1178
Pm: 0.6667 0.3333 0.8822
Er: 0.6667 0.3333 0.3317
Er: 0.6667 0.3333 0.6683

Its uncorrected energy is -4.34 eV per atom. Its space group is P-6m2 (187). For the formation energy from the elements, the calculation gives 0.0622 eV/atom. The calculation puts the magnetization at 0.044 μB/cell.

> The highest uncorrected energy belongs to which entry?

Zn2Cd2Ag7Sn